Crystalline K2ZnCo at its relaxed geometry. Source: Alexandria via LeMat-Bulk, functional GGA-PBE.

Lattice parameters (Å, degrees): 7.7811 7.7811 24.7737 90.00 90.00 90.00
Closest atoms and distances in Å follow each position.
Space group I-42d (No. 122)
Symmetry-distinct sites (fractional):
K 0.2491 0.2500 0.1250 x8  2 Co 4.14, 2 Zn 4.15
Zn 0.0000 0.0000 0.5000 x4  4 K 4.15
Co 0.0000 0.0000 0.0000 x4  4 K 4.14

## Properties
- V: 1500 Å³/cell
- ΔE_f: 1.252 eV per atom
- Density of states at the Fermi level: 9.08 states/eV/cell